[1]
Material: KMoPt
Method: DFT, PBE-GGA
State: optimized geometry

For the density of states at the Fermi level, the calculation gives 2.99 states/eV/f.u. The value obtained for the energy is -16.60 eV per cell. The value obtained for the formation energy is 458 meV/atom. The offset from the most stable computed form is 0.0 meV/atom.

Lattice parameters (Å, degrees): 6.750 6.750 6.750 156.51 143.96 43.47
Fractional coordinates of all 3 atoms:
Pt 0.714 0.714 0.000
Mo 0.280 0.280 0.000
K 0.006 0.006 0.000

---

[2]
Material: TbSc2Tl4
Method: DFT, PBE-GGA
State: optimized geometry

For the density of states at the Fermi level, the calculation gives 6.64 states/eV/f.u. The value obtained for the energy is -28.03 eV per cell. The value obtained for the formation energy is -182 meV/atom.

Lattice parameters (Å, degrees): 6.299 6.299 6.299 112.21 108.12 108.12
Each line ends with the local moment (μB).
Fractional coordinates of all 7 atoms:
Tl 0.500 0.500 0.500  0.00
Tl 0.000 0.000 0.500  0.00
Tl 0.500 0.000 0.000  0.00
Tb 0.000 0.000 0.000  0.07
Tl 0.000 0.500 0.000  0.00
Sc 0.500 0.000 0.500  0.16
Sc 0.500 0.500 0.000  0.16

---

[3]
Material: BaTc2W
Method: DFT, PBE-GGA
State: optimized geometry

For the density of states at the Fermi level, the calculation gives 5.15 states/eV/f.u. The value obtained for the energy is -30.28 eV per cell. The value obtained for the formation energy is 1332 meV/atom. The offset from the most stable computed form is 740.7 meV/atom.

Lattice parameters (Å, degrees): 4.719 4.719 4.719 60.00 60.00 60.00
Fractional coordinates of all 4 atoms:
Tc 0.000 0.000 0.000
W 0.750 0.750 0.750
Ba 0.500 0.500 0.500
Tc 0.250 0.250 0.250